A plane-wave DFT calculation with PBE was carried out for a relaxed TaZn2Ga crystal.

extended XYZ file:
```
4
Lattice="0.000 3.174 3.174 3.174 0.000 3.174 3.174 3.174 0.000" Properties=species:S:1:pos:R:3 pbc="T T T"
Ta 1.587 1.587 1.587
Zn 0.000 0.000 0.000
Zn 4.760 4.760 4.760
Ga 3.174 3.174 3.174
```

- Total moment: 0.0 μB/f.u.
- Total DFT energy (no corrections): -4.04 eV/atom